[1]
# CrFeW2 | the Alexandria database | PBE-GGA | optimized geometry
data_CrFeW2
_cell_length_a 4.262
_cell_length_b 4.262
_cell_length_c 3.037
_cell_angle_alpha 90.00
_cell_angle_beta 90.00
_cell_angle_gamma 90.00
_symmetry_space_group_name_H-M 'P 4/m m m'
_symmetry_Int_Tables_number 123
_symmetry_space_group_name_Hall '-P 4 2'
loop_
_atom_site_label
_atom_site_type_symbol
_atom_site_fract_x
_atom_site_fract_y
_atom_site_fract_z
_atom_site_occupancy
Cr1 Cr 0.000 0.000 0.000 1
Fe1 Fe 0.500 0.500 0.000 1
W1 W 0.000 0.500 0.500 1
# - Energy relative to the lowest polymorph listed for this composition: 0.000 eV/atom
# - Calculated formation energy: 111 meV per atom



[2]
# Cr2FeW | the Alexandria database | PBE-GGA | optimized geometry
data_Cr2FeW
_cell_length_a 2.998
_cell_length_b 4.206
_cell_length_c 8.163
_cell_angle_alpha 90.00
_cell_angle_beta 90.00
_cell_angle_gamma 90.00
_symmetry_space_group_name_H-M 'C m m 2'
_symmetry_Int_Tables_number 35
_symmetry_space_group_name_Hall 'C 2 -2'
loop_
_atom_site_label
_atom_site_type_symbol
_atom_site_fract_x
_atom_site_fract_y
_atom_site_fract_z
_atom_site_occupancy
Cr1 Cr 0.000 0.000 0.000 1
Cr2 Cr 0.000 0.500 0.234 1
Fe1 Fe 0.000 0.500 0.762 1
W1 W 0.000 0.000 0.499 1
# - Energy relative to the lowest polymorph listed for this composition: 0.007 eV/atom
# - Calculated formation energy: 129 meV per atom



[3]
# CrFeW2 | the Alexandria database | PBE-GGA | optimized geometry
data_CrFeW2
_cell_length_a 2.7141
_cell_length_b 2.7141
_cell_length_c 26.7200
_cell_angle_alpha 90.00
_cell_angle_beta 90.00
_cell_angle_gamma 120.00
_symmetry_space_group_name_H-M 'R 3 m'
_symmetry_Int_Tables_number 160
_symmetry_space_group_name_Hall 'R 3 -2"'
loop_
_atom_site_label
_atom_site_type_symbol
_atom_site_fract_x
_atom_site_fract_y
_atom_site_fract_z
_atom_site_occupancy
Cr1 Cr 0.0000 0.0000 0.0000 1
Fe1 Fe 0.0000 0.0000 0.2641 1
W1 W 0.0000 0.0000 0.5139 1
W2 W 0.0000 0.0000 0.7532 1
# - Energy relative to the lowest polymorph listed for this composition: 0.303 eV/atom
# - Calculated formation energy: 414 meV per atom



[4]
# CrFeW2 | the Alexandria database | PBE-GGA | optimized geometry
data_CrFeW2
_cell_length_a 6.045
_cell_length_b 6.045
_cell_length_c 6.045
_cell_angle_alpha 90.00
_cell_angle_beta 90.00
_cell_angle_gamma 90.00
_symmetry_space_group_name_H-M 'F m -3 m'
_symmetry_Int_Tables_number 225
_symmetry_space_group_name_Hall '-F 4 2 3'
loop_
_atom_site_label
_atom_site_type_symbol
_atom_site_fract_x
_atom_site_fract_y
_atom_site_fract_z
_atom_site_occupancy
Cr1 Cr 0.000 0.000 0.000 1
Fe1 Fe 0.000 0.000 0.500 1
W1 W 0.250 0.250 0.250 1
# - Energy relative to the lowest polymorph listed for this composition: 0.020 eV/atom
# - Calculated formation energy: 131 meV per atom



[5]
# CrFeW2 | the Alexandria database | PBE-GGA | optimized geometry
data_CrFeW2
_cell_length_a 3.084
_cell_length_b 4.329
_cell_length_c 8.410
_cell_angle_alpha 90.00
_cell_angle_beta 90.00
_cell_angle_gamma 90.00
_symmetry_space_group_name_H-M 'C m m m'
_symmetry_Int_Tables_number 65
_symmetry_space_group_name_Hall '-C 2 2'
loop_
_atom_site_label
_atom_site_type_symbol
_atom_site_fract_x
_atom_site_fract_y
_atom_site_fract_z
_atom_site_occupancy
Cr1 Cr 0.000 0.000 0.000 1
Fe1 Fe 0.000 0.000 0.500 1
W1 W 0.000 0.500 0.251 1
# - Energy relative to the lowest polymorph listed for this composition: 0.010 eV/atom
# - Calculated formation energy: 121 meV per atom



[6]
# CrFe2W | the Alexandria database | PBE-GGA | optimized geometry
data_CrFe2W
_cell_length_a 3.049
_cell_length_b 4.132
_cell_length_c 8.122
_cell_angle_alpha 90.00
_cell_angle_beta 90.00
_cell_angle_gamma 90.00
_symmetry_space_group_name_H-M 'C m m m'
_symmetry_Int_Tables_number 65
_symmetry_space_group_name_Hall '-C 2 2'
loop_
_atom_site_label
_atom_site_type_symbol
_atom_site_fract_x
_atom_site_fract_y
_atom_site_fract_z
_atom_site_occupancy
Cr1 Cr 0.000 0.000 0.000 1
Fe1 Fe 0.000 0.500 0.236 1
W1 W 0.000 0.000 0.500 1
# - Energy relative to the lowest polymorph listed for this composition: 0.072 eV/atom
# - Calculated formation energy: 178 meV per atom



[7]
# CrFeW2 | the Alexandria database | PBE-GGA | optimized geometry
data_CrFeW2
_cell_length_a 6.079
_cell_length_b 6.079
_cell_length_c 6.079
_cell_angle_alpha 90.00
_cell_angle_beta 90.00
_cell_angle_gamma 90.00
_symmetry_space_group_name_H-M 'F -4 3 m'
_symmetry_Int_Tables_number 216
_symmetry_space_group_name_Hall 'F -4 2 3'
loop_
_atom_site_label
_atom_site_type_symbol
_atom_site_fract_x
_atom_site_fract_y
_atom_site_fract_z
_atom_site_occupancy
Cr1 Cr 0.000 0.000 0.000 1
Fe1 Fe 0.250 0.250 0.750 1
W1 W 0.000 0.000 0.500 1
W2 W 0.250 0.250 0.250 1
# - Energy relative to the lowest polymorph listed for this composition: 0.082 eV/atom
# - Calculated formation energy: 193 meV per atom



[8]
# CrFe2W | the Alexandria database | PBE-GGA | optimized geometry
data_CrFe2W
_cell_length_a 2.986
_cell_length_b 2.986
_cell_length_c 5.694
_cell_angle_alpha 90.00
_cell_angle_beta 90.00
_cell_angle_gamma 90.00
_symmetry_space_group_name_H-M 'P 4 m m'
_symmetry_Int_Tables_number 99
_symmetry_space_group_name_Hall 'P 4 -2'
loop_
_atom_site_label
_atom_site_type_symbol
_atom_site_fract_x
_atom_site_fract_y
_atom_site_fract_z
_atom_site_occupancy
Cr1 Cr 0.000 0.000 0.000 1
Fe1 Fe 0.000 0.000 0.474 1
Fe2 Fe 0.500 0.500 0.237 1
W1 W 0.500 0.500 0.736 1
# - Energy relative to the lowest polymorph listed for this composition: 0.000 eV/atom
# - Calculated formation energy: 106 meV per atom



Repeat the fourth record exactly.
# CrFeW2 | the Alexandria database | PBE-GGA | optimized geometry
data_CrFeW2
_cell_length_a 6.045
_cell_length_b 6.045
_cell_length_c 6.045
_cell_angle_alpha 90.00
_cell_angle_beta 90.00
_cell_angle_gamma 90.00
_symmetry_space_group_name_H-M 'F m -3 m'
_symmetry_Int_Tables_number 225
_symmetry_space_group_name_Hall '-F 4 2 3'
loop_
_atom_site_label
_atom_site_type_symbol
_atom_site_fract_x
_atom_site_fract_y
_atom_site_fract_z
_atom_site_occupancy
Cr1 Cr 0.000 0.000 0.000 1
Fe1 Fe 0.000 0.000 0.500 1
W1 W 0.250 0.250 0.250 1
# - Energy relative to the lowest polymorph listed for this composition: 0.020 eV/atom
# - Calculated formation energy: 131 meV per atom